# 1
! AlReO2F GGA-PBE relaxed; values from VASP
! Formation energy from raw total energies, kJ/mol of atoms: -98.2
! Spin magnetization, μB/f.u.: 4.91
! Space-group type: P4/mmm (123)
&SYSTEM
  ibrav = 0, nat = 5, ntyp = 4
/
ATOMIC_SPECIES
Al 26.98 Al.upf
Re 186.21 Re.upf
O 16.00 O.upf
F 19.00 F.upf
ATOMIC_POSITIONS angstrom
Al 0.000 0.000 0.000
Re 1.916 1.916 1.856
O 0.000 1.916 0.000
O 1.916 0.000 0.000
F 0.000 0.000 1.856
CELL_PARAMETERS angstrom
3.832 0.000 0.000
0.000 3.832 0.000
0.000 0.000 3.711

# 2
! AlReO2F GGA-PBE relaxed; values from VASP
! Formation energy from raw total energies, kJ/mol of atoms: -94.6
! Spin magnetization, μB/f.u.: 0.00
! Space-group type: P4/mmm (123)
&SYSTEM
  ibrav = 0, nat = 5, ntyp = 4
/
ATOMIC_SPECIES
Al 26.98 Al.upf
Re 186.21 Re.upf
O 16.00 O.upf
F 19.00 F.upf
ATOMIC_POSITIONS angstrom
Al 0.000 0.000 0.000
Re 1.925 1.925 2.316
O 0.000 1.925 2.316
O 1.925 0.000 2.316
F 1.925 1.925 0.000
CELL_PARAMETERS angstrom
3.850 0.000 0.000
0.000 3.850 0.000
0.000 0.000 4.633

# 3
! AlRhO2F GGA-PBE relaxed; values from VASP
! Formation energy from raw total energies, kJ/mol of atoms: -139.4
! Spin magnetization, μB/f.u.: 2.73
! Space-group type: P4/mmm (123)
&SYSTEM
  ibrav = 0, nat = 5, ntyp = 4
/
ATOMIC_SPECIES
Al 26.98 Al.upf
Rh 102.91 Rh.upf
O 16.00 O.upf
F 19.00 F.upf
ATOMIC_POSITIONS angstrom
Al 0.000 0.000 0.000
Rh 1.907 1.907 1.784
O 0.000 1.907 0.000
O 1.907 0.000 0.000
F 0.000 0.000 1.784
CELL_PARAMETERS angstrom
3.814 0.000 0.000
0.000 3.814 0.000
0.000 0.000 3.569